Computed, not measured: a relaxed Os2PdWAu crystal at the PBE level of DFT.

Output
* magnetization: 0.9 μB/f.u.
* DFT total energy: -6.872 eV per atom

Geometry as CIF:
```
data_Os2PdWAu
_space_group_name_H-M_alt 'P 4/m m m'
_space_group_IT_number 123
_space_group_name_Hall '-P 4 2'
_cell_length_a 4.709
_cell_length_b 4.709
_cell_length_c 4.812
_cell_angle_alpha 90.00
_cell_angle_beta 90.00
_cell_angle_gamma 90.00
loop_
_atom_site_label
_atom_site_fract_x
_atom_site_fract_y
_atom_site_fract_z
Os1 0.000 0.500 0.000
Pd1 0.000 0.000 0.500
W1 0.000 0.000 0.000
Au1 0.500 0.500 0.500
```

***

Computed, not measured: a relaxed SrZnOs2 crystal at the PBE level of DFT.

Output
* magnetization: 0.0 μB/f.u.
* DFT total energy: -5.654 eV per atom

Geometry as CIF:
```
data_SrZnOs2
_space_group_name_H-M_alt 'P m m m'
_space_group_IT_number 47
_cell_length_a 2.765
_cell_length_b 4.251
_cell_length_c 6.524
_cell_angle_alpha 90.00
_cell_angle_beta 90.00
_cell_angle_gamma 90.00
loop_
_space_group_symop_operation_xyz
'x,y,z'
'-x,-y,-z'
'-x,-y,z'
'x,y,-z'
'x,-y,-z'
'-x,y,z'
'-x,y,-z'
'x,-y,z'
loop_
_atom_site_label
_atom_site_fract_x
_atom_site_fract_y
_atom_site_fract_z
Sr1 0.000 0.000 0.000
Zn1 0.000 0.000 0.500
Os1 0.500 0.500 0.318
```

***

Computed, not measured: a relaxed Sc2Sn2Sb crystal at the PBE level of DFT.

Output
* magnetization: 0.0 μB/f.u.
* formation energy without anion corrections: -0.527 eV/atom
* offset from the most stable computed form: 0 meV/atom
* DFT total energy: -5.485 eV per atom

Geometry as CIF:
```
data_Sc2Sn2Sb
_space_group_name_H-M_alt 'P 4/m b m'
_space_group_IT_number 127
_space_group_name_Hall '-P 4 2ab'
_cell_length_a 7.555
_cell_length_b 7.555
_cell_length_c 4.369
_cell_angle_alpha 90.00
_cell_angle_beta 90.00
_cell_angle_gamma 90.00
loop_
_atom_site_label
_atom_site_fract_x
_atom_site_fract_y
_atom_site_fract_z
Sc1 0.165 0.335 0.000
Sn1 0.140 0.640 0.500
Sb1 0.000 0.000 0.000
```

***

Computed, not measured: a relaxed KZnPt crystal at the PBE level of DFT.

Output
* magnetization: 0.0 μB/f.u.
* offset from the most stable computed form: 451 meV/atom
* DFT total energy: -2.626 eV per atom

Geometry as CIF:
```
data_KZnPt
_space_group_name_H-M_alt 'P 3 m 1'
_space_group_IT_number 156
_cell_length_a 3.1025
_cell_length_b 3.1025
_cell_length_c 7.5212
_cell_angle_alpha 90.00
_cell_angle_beta 90.00
_cell_angle_gamma 120.00
loop_
_space_group_symop_operation_xyz
'x,y,z'
'-y,x-y,z'
'-x+y,-x,z'
'-y,-x,z'
'-x+y,y,z'
'x,x-y,z'
loop_
_atom_site_label
_atom_site_fract_x
_atom_site_fract_y
_atom_site_fract_z
K1 0.0000 0.0000 0.0000
Zn1 0.3333 0.6667 0.6044
Pt1 0.6667 0.3333 0.3513
```

***

Computed, not measured: a relaxed LaScS2 crystal at the PBE level of DFT.

Output
* magnetization: 0.0 μB/f.u.
* formation energy without anion corrections: -1.993 eV/atom
* offset from the most stable computed form: 0 meV/atom
* DFT total energy: -6.871 eV per atom

Geometry as CIF:
```
data_LaScS2
_space_group_name_H-M_alt 'C 1 2/m 1'
_space_group_IT_number 12
_cell_length_a 6.684
_cell_length_b 3.872
_cell_length_c 6.957
_cell_angle_alpha 90.00
_cell_angle_beta 108.79
_cell_angle_gamma 90.00
loop_
_space_group_symop_operation_xyz
'x,y,z'
'-x,-y,-z'
'-x,y,-z'
'x,-y,z'
'x+1/2,y+1/2,z'
'-x+1/2,-y+1/2,-z'
'-x+1/2,y+1/2,-z'
'x+1/2,-y+1/2,z'
loop_
_atom_site_label
_atom_site_fract_x
_atom_site_fract_y
_atom_site_fract_z
La1 0.000 0.000 0.000
Sc1 0.000 0.500 0.500
S1 0.238 0.000 0.714
```

***

Computed, not measured: a relaxed ScRuPt4 crystal at the PBE level of DFT.

Output
* magnetization: 2.0 μB/f.u.
* DFT total energy: -6.910 eV per atom

Geometry as CIF:
```
data_ScRuPt4
_space_group_name_H-M_alt 'F -4 3 m'
_space_group_IT_number 216
_space_group_name_Hall 'F -4 2 3'
_cell_length_a 7.426
_cell_length_b 7.426
_cell_length_c 7.426
_cell_angle_alpha 90.00
_cell_angle_beta 90.00
_cell_angle_gamma 90.00
loop_
_atom_site_label
_atom_site_fract_x
_atom_site_fract_y
_atom_site_fract_z
Sc1 0.000 0.000 0.000
Ru1 0.250 0.250 0.250
Pt1 0.125 0.125 0.625
```

***

Computed, not measured: a relaxed Rb2Hg2I5 crystal at the PBE level of DFT.

Output
* magnetization: 0.0 μB/f.u.
* formation energy without anion corrections: -0.771 eV/atom
* offset from the most stable computed form: 16 meV/atom
* DFT total energy: -1.914 eV per atom

Geometry as CIF:
```
data_Rb2Hg2I5
_space_group_name_H-M_alt 'C 1 2/m 1'
_space_group_IT_number 12
_cell_length_a 16.556
_cell_length_b 6.165
_cell_length_c 9.002
_cell_angle_alpha 90.00
_cell_angle_beta 113.45
_cell_angle_gamma 90.00
loop_
_space_group_symop_operation_xyz
'x,y,z'
'-x,-y,-z'
'-x,y,-z'
'x,-y,z'
'x+1/2,y+1/2,z'
'-x+1/2,-y+1/2,-z'
'-x+1/2,y+1/2,-z'
'x+1/2,-y+1/2,z'
loop_
_atom_site_label
_atom_site_fract_x
_atom_site_fract_y
_atom_site_fract_z
Rb1 0.107 0.000 0.293
Hg1 0.137 0.500 0.859
I1 0.000 0.500 0.000
I2 0.147 0.000 0.901
I3 0.149 0.500 0.543
```

***

Computed, not measured: a relaxed TaW2N crystal at the PBE level of DFT.

Output
* magnetization: 0.0 μB/f.u.
* formation energy without anion corrections: -0.199 eV/atom
* DFT total energy: -11.720 eV per atom

Geometry as CIF:
```
data_TaW2N
_space_group_name_H-M_alt 'C 1 2/m 1'
_space_group_IT_number 12
_cell_length_a 9.618
_cell_length_b 4.231
_cell_length_c 5.847
_cell_angle_alpha 90.00
_cell_angle_beta 110.44
_cell_angle_gamma 90.00
loop_
_space_group_symop_operation_xyz
'x,y,z'
'-x,-y,-z'
'-x,y,-z'
'x,-y,z'
'x+1/2,y+1/2,z'
'-x+1/2,-y+1/2,-z'
'-x+1/2,y+1/2,-z'
'x+1/2,-y+1/2,z'
loop_
_atom_site_label
_atom_site_fract_x
_atom_site_fract_y
_atom_site_fract_z
Ta1 0.000 0.000 0.000
Ta2 0.000 0.000 0.500
W1 0.154 0.500 0.294
W2 0.166 0.500 0.832
N1 0.178 0.000 0.351
```

***

Computed, not measured: a relaxed NbFe2Cu crystal at the PBE level of DFT.

Output
* magnetization: 3.3 μB/f.u.
* offset from the most stable computed form: 526 meV/atom
* DFT total energy: -7.205 eV per atom

Geometry as CIF:
```
data_NbFe2Cu
_space_group_name_H-M_alt 'I -4 2 d'
_space_group_IT_number 122
_space_group_name_Hall 'I -4 2bw'
_cell_length_a 6.674
_cell_length_b 6.674
_cell_length_c 5.143
_cell_angle_alpha 90.00
_cell_angle_beta 90.00
_cell_angle_gamma 90.00
loop_
_atom_site_label
_atom_site_fract_x
_atom_site_fract_y
_atom_site_fract_z
Nb1 0.000 0.000 0.000
Fe1 0.239 0.750 0.625
Cu1 0.000 0.000 0.500
```

***

Computed, not measured: a relaxed GdLu2N crystal at the PBE level of DFT.

Output
* magnetization: 7.5 μB/f.u.
* formation energy without anion corrections: -0.227 eV/atom
* DFT total energy: -8.090 eV per atom

Geometry as CIF:
```
data_GdLu2N
_space_group_name_H-M_alt 'P 4/m m m'
_space_group_IT_number 123
_space_group_name_Hall '-P 4 2'
_cell_length_a 3.109
_cell_length_b 3.109
_cell_length_c 8.659
_cell_angle_alpha 90.00
_cell_angle_beta 90.00
_cell_angle_gamma 90.00
loop_
_atom_site_label
_atom_site_fract_x
_atom_site_fract_y
_atom_site_fract_z
Gd1 0.000 0.000 0.000
Lu1 0.500 0.500 0.340
N1 0.000 0.000 0.500
```

***

Computed, not measured: a relaxed Rb2ZnCO4 crystal at the PBE level of DFT.

Output
* magnetization: 0.0 μB/f.u.
* formation energy without anion corrections: -1.357 eV/atom
* DFT total energy: -5.390 eV per atom

Geometry as CIF:
```
data_Rb2ZnCO4
_space_group_name_H-M_alt 'F d d d'
_space_group_IT_number 70
_cell_length_a 4.857
_cell_length_b 11.263
_cell_length_c 20.915
_cell_angle_alpha 90.00
_cell_angle_beta 90.00
_cell_angle_gamma 90.00
loop_
_space_group_symop_operation_xyz
'x,y,z'
'-x,-y,-z'
'-x+1/4,-y+1/4,z'
'x+1/4,y+1/4,-z'
'x,-y+1/4,-z+1/4'
'-x,y+1/4,z+1/4'
'-x+1/4,y,-z+1/4'
'x+1/4,-y,z+1/4'
'x,y+1/2,z+1/2'
'-x,-y+1/2,-z+1/2'
'-x+1/4,-y+3/4,z+1/2'
'x+1/4,y+3/4,-z+1/2'
'x,-y+3/4,-z+3/4'
'-x,y+3/4,z+3/4'
'-x+1/4,y+1/2,-z+3/4'
'x+1/4,-y+1/2,z+3/4'
'x+1/2,y,z+1/2'
'-x+1/2,-y,-z+1/2'
'-x+3/4,-y+1/4,z+1/2'
'x+3/4,y+1/4,-z+1/2'
'x+1/2,-y+1/4,-z+3/4'
'-x+1/2,y+1/4,z+3/4'
'-x+3/4,y,-z+3/4'
'x+3/4,-y,z+3/4'
'x+1/2,y+1/2,z'
'-x+1/2,-y+1/2,-z'
'-x+3/4,-y+3/4,z'
'x+3/4,y+3/4,-z'
'x+1/2,-y+3/4,-z+1/4'
'-x+1/2,y+3/4,z+1/4'
'-x+3/4,y+1/2,-z+1/4'
'x+3/4,-y+1/2,z+1/4'
loop_
_atom_site_label
_atom_site_fract_x
_atom_site_fract_y
_atom_site_fract_z
Rb1 0.125 0.125 0.300
Zn1 0.125 0.125 0.125
C1 0.125 0.125 0.625
O1 0.048 0.302 0.836
```

***

Computed, not measured: a relaxed AlCr2NiH crystal at the PBE level of DFT.

Output
* magnetization: 0.1 μB/f.u.
* DFT total energy: -6.511 eV per atom

Geometry as CIF:
```
data_AlCr2NiH
_space_group_name_H-M_alt 'P 4/m m m'
_space_group_IT_number 123
_space_group_name_Hall '-P 4 2'
_cell_length_a 3.516
_cell_length_b 3.516
_cell_length_c 4.076
_cell_angle_alpha 90.00
_cell_angle_beta 90.00
_cell_angle_gamma 90.00
loop_
_atom_site_label
_atom_site_fract_x
_atom_site_fract_y
_atom_site_fract_z
Al1 0.000 0.000 0.000
Cr1 0.000 0.500 0.500
Ni1 0.500 0.500 0.000
H1 0.500 0.500 0.500
```

***

Computed, not measured: a relaxed RbSeF2 crystal at the PBE level of DFT.

Output
* magnetization: 1.0 μB/f.u.
* formation energy without anion corrections: -1.218 eV/atom
* offset from the most stable computed form: 432 meV/atom
* DFT total energy: -3.267 eV per atom

Geometry as CIF:
```
data_RbSeF2
_space_group_name_H-M_alt 'R -3 m'
_space_group_IT_number 166
_space_group_name_Hall '-R 3 2"'
_cell_length_a 4.2723
_cell_length_b 4.2723
_cell_length_c 14.8471
_cell_angle_alpha 90.00
_cell_angle_beta 90.00
_cell_angle_gamma 120.00
loop_
_atom_site_label
_atom_site_fract_x
_atom_site_fract_y
_atom_site_fract_z
Rb1 0.0000 0.0000 0.0000
Se1 0.0000 0.0000 0.5000
F1 0.0000 0.0000 0.2033
```

***

Computed, not measured: a relaxed TaReW2 crystal at the PBE level of DFT.

Output
* magnetization: 0.0 μB/f.u.
* offset from the most stable computed form: 439 meV/atom
* DFT total energy: -12.263 eV per atom

Geometry as CIF:
```
data_TaReW2
_space_group_name_H-M_alt 'R -3 m'
_space_group_IT_number 166
_space_group_name_Hall '-R 3 2"'
_cell_length_a 2.8713
_cell_length_b 2.8713
_cell_length_c 27.8957
_cell_angle_alpha 90.00
_cell_angle_beta 90.00
_cell_angle_gamma 120.00
loop_
_atom_site_label
_atom_site_fract_x
_atom_site_fract_y
_atom_site_fract_z
Ta1 0.0000 0.0000 0.0000
Re1 0.0000 0.0000 0.5000
W1 0.0000 0.0000 0.2456
```

***

Computed, not measured: a relaxed Ti4GeSbH crystal at the PBE level of DFT.

Output
* magnetization: 0.0 μB/f.u.
* DFT total energy: -6.791 eV per atom

Geometry as CIF:
```
data_Ti4GeSbH
_space_group_name_H-M_alt 'C m c m'
_space_group_IT_number 63
_space_group_name_Hall '-C 2c 2'
_cell_length_a 5.400
_cell_length_b 14.685
_cell_length_c 5.418
_cell_angle_alpha 90.00
_cell_angle_beta 90.00
_cell_angle_gamma 90.00
loop_
_atom_site_label
_atom_site_fract_x
_atom_site_fract_y
_atom_site_fract_z
Ti1 0.000 0.068 0.250
Ti2 0.000 0.422 0.250
Ti3 0.250 0.250 0.000
Ge1 0.000 0.114 0.750
Sb1 0.000 0.391 0.750
H1 0.000 0.286 0.250
```

***

Computed, not measured: a relaxed NaInAu2 crystal at the PBE level of DFT.

Output
* magnetization: 0.0 μB/f.u.
* DFT total energy: -2.667 eV per atom

Geometry as CIF:
```
data_NaInAu2
_space_group_name_H-M_alt 'I -4 2 d'
_space_group_IT_number 122
_space_group_name_Hall 'I -4 2bw'
_cell_length_a 4.358
_cell_length_b 4.358
_cell_length_c 19.325
_cell_angle_alpha 90.00
_cell_angle_beta 90.00
_cell_angle_gamma 90.00
loop_
_atom_site_label
_atom_site_fract_x
_atom_site_fract_y
_atom_site_fract_z
Na1 0.000 0.000 0.000
In1 0.000 0.000 0.500
Au1 0.244 0.250 0.625
```

***

Computed, not measured: a relaxed KAl2Rh crystal at the PBE level of DFT.

Output
* magnetization: 0.0 μB/f.u.
* offset from the most stable computed form: 91 meV/atom
* DFT total energy: -4.229 eV per atom

Geometry as CIF:
```
data_KAl2Rh
_space_group_name_H-M_alt 'P 1 2/m 1'
_space_group_IT_number 10
_cell_length_a 2.913
_cell_length_b 3.403
_cell_length_c 8.386
_cell_angle_alpha 90.00
_cell_angle_beta 90.26
_cell_angle_gamma 90.00
loop_
_space_group_symop_operation_xyz
'x,y,z'
'-x,-y,-z'
'-x,y,-z'
'x,-y,z'
loop_
_atom_site_label
_atom_site_fract_x
_atom_site_fract_y
_atom_site_fract_z
K1 0.000 0.000 0.000
Al1 0.498 0.500 0.335
Rh1 0.000 0.000 0.500
```

***

Computed, not measured: a relaxed CsK9Na2 crystal at the PBE level of DFT.

Output
* magnetization: 0.0 μB/f.u.
* DFT total energy: -1.090 eV per atom

Geometry as CIF:
```
data_CsK9Na2
_space_group_name_H-M_alt 'I 41/a m d'
_space_group_IT_number 141
_cell_length_a 17.432
_cell_length_b 17.432
_cell_length_c 11.275
_cell_angle_alpha 90.00
_cell_angle_beta 90.00
_cell_angle_gamma 90.00
loop_
_space_group_symop_operation_xyz
'x,y,z'
'-x,-y,-z'
'-y+1/4,x+3/4,z+1/4'
'y+1/4,-x+3/4,-z+1/4'
'-x+1/2,-y,z+1/2'
'x+1/2,y,-z+1/2'
'y+1/4,-x+1/4,z+3/4'
'-y+1/4,x+1/4,-z+3/4'
'x,-y,-z'
'-x,y,z'
'-y+1/4,-x+1/4,-z+3/4'
'y+1/4,x+1/4,z+3/4'
'-x+1/2,y,-z+1/2'
'x+1/2,-y,z+1/2'
'y+1/4,x+3/4,-z+1/4'
'-y+1/4,-x+3/4,z+1/4'
'x+1/2,y+1/2,z+1/2'
'-x+1/2,-y+1/2,-z+1/2'
'-y+3/4,x+1/4,z+3/4'
'y+3/4,-x+1/4,-z+3/4'
'-x,-y+1/2,z'
'x,y+1/2,-z'
'y+3/4,-x+3/4,z+1/4'
'-y+3/4,x+3/4,-z+1/4'
'x+1/2,-y+1/2,-z+1/2'
'-x+1/2,y+1/2,z+1/2'
'-y+3/4,-x+3/4,-z+1/4'
'y+3/4,x+3/4,z+1/4'
'-x,y+1/2,-z'
'x,-y+1/2,z'
'y+3/4,x+1/4,-z+3/4'
'-y+3/4,-x+1/4,z+3/4'
loop_
_atom_site_label
_atom_site_fract_x
_atom_site_fract_y
_atom_site_fract_z
Cs1 0.000 0.250 0.375
K1 0.000 0.250 0.875
K2 0.122 0.055 0.682
Na1 0.000 0.000 0.000
```